# Pm3Nd2Dy5 | Alexandria via LeMat-Bulk | GGA-PBE | relaxed
data_Pm3Nd2Dy5
_space_group_name_H-M_alt 'C 1 2/c 1'
_space_group_IT_number 15
_space_group_name_Hall '-C 2yc'
_cell_length_a 10.7487
_cell_length_b 16.2841
_cell_length_c 9.3715
_cell_angle_alpha 90.00
_cell_angle_beta 124.95
_cell_angle_gamma 90.00
loop_
_atom_site_label
_atom_site_fract_x
_atom_site_fract_y
_atom_site_fract_z
Pm1 0.0000 0.2270 0.2500
Pm2 0.1537 0.1223 0.0466
Nd1 0.1433 0.3762 0.5467
Dy1 0.0000 0.0275 0.2500
Dy2 0.0000 0.2706 0.7500
Dy3 0.0000 0.4754 0.7500
Dy4 0.2393 0.1175 0.7316
# total magnetic moment: 0.00 μB/f.u.
# formation energy: 1.824 eV per formula unit
# crystal system: monoclinic